--- w ---
This record from the Alexandria database describes a relaxed InAgSnSe4 crystal. The functional is PBE-GGA.

## Properties
Mass density, Mg/m³: 5.781
Size of the total moment, μB/f.u.: 0.00

The structure in CIF format:
```
data_InAgSnSe4
_cell_length_a 8.109
_cell_length_b 8.120
_cell_length_c 11.468
_cell_angle_alpha 90.00
_cell_angle_beta 90.00
_cell_angle_gamma 90.00
_symmetry_space_group_name_H-M 'I m m a'
_symmetry_Int_Tables_number 74
_symmetry_space_group_name_Hall '-I 2b 2'
loop_
_atom_site_label
_atom_site_type_symbol
_atom_site_fract_x
_atom_site_fract_y
_atom_site_fract_z
In1 In 0.250 0.250 0.250
Ag1 Ag 0.000 0.250 0.633
Sn1 Sn 0.000 0.000 0.000
Se1 Se 0.000 0.017 0.238
Se2 Se 0.234 0.250 0.005
```



--- x ---
This record from the Alexandria database describes a relaxed InAgSnSe4 crystal. The functional is PBE-GGA.

## Properties
Mass density, Mg/m³: 5.305
Size of the total moment, μB/f.u.: 0.00

The structure in CIF format:
```
data_InAgSnSe4
_cell_length_a 5.968
_cell_length_b 5.968
_cell_length_c 11.553
_cell_angle_alpha 90.00
_cell_angle_beta 90.00
_cell_angle_gamma 90.00
_symmetry_space_group_name_H-M 'I -4'
_symmetry_Int_Tables_number 82
loop_
_symmetry_equiv_pos_as_xyz
'x,y,z'
'y,-x,-z'
'-x,-y,z'
'-y,x,-z'
'x+1/2,y+1/2,z+1/2'
'y+1/2,-x+1/2,-z+1/2'
'-x+1/2,-y+1/2,z+1/2'
'-y+1/2,x+1/2,-z+1/2'
loop_
_atom_site_label
_atom_site_type_symbol
_atom_site_fract_x
_atom_site_fract_y
_atom_site_fract_z
In1 In 0.000 0.000 0.000
Ag1 Ag 0.000 0.500 0.250
Sn1 Sn 0.000 0.500 0.750
Se1 Se 0.221 0.765 0.614
```



The relative energies come out as w 0.017; x 0.000, with values in eV/atom.



--- w ---
This record from the Alexandria database describes a relaxed InAgTeSe crystal. The functional is PBE-GGA.

## Properties
Mass density, Mg/m³: 5.596
Size of the total moment, μB/f.u.: 0.00

The structure in CIF format:
```
data_InAgTeSe
_cell_length_a 6.342
_cell_length_b 6.427
_cell_length_c 12.501
_cell_angle_alpha 90.00
_cell_angle_beta 90.00
_cell_angle_gamma 90.00
_symmetry_space_group_name_H-M 'I 21 21 21'
_symmetry_Int_Tables_number 24
loop_
_symmetry_equiv_pos_as_xyz
'x,y,z'
'-x,-y+1/2,z'
'x,-y,-z+1/2'
'-x,y+1/2,-z+1/2'
'x+1/2,y+1/2,z+1/2'
'-x+1/2,-y,z+1/2'
'x+1/2,-y+1/2,-z'
'-x+1/2,y,-z'
loop_
_atom_site_label
_atom_site_type_symbol
_atom_site_fract_x
_atom_site_fract_y
_atom_site_fract_z
In1 In 0.000 0.250 0.119
Ag1 Ag 0.000 0.250 0.613
Te1 Te 0.240 0.500 0.750
Se1 Se 0.250 0.009 0.000
```



--- x ---
This record from the Alexandria database describes a relaxed InAgTeSe crystal. The functional is PBE-GGA.

## Properties
Mass density, Mg/m³: 5.523
Size of the total moment, μB/f.u.: 0.00

The structure in CIF format:
```
data_InAgTeSe
_cell_length_a 4.5256
_cell_length_b 4.5256
_cell_length_c 21.8262
_cell_angle_alpha 90.00
_cell_angle_beta 90.00
_cell_angle_gamma 120.00
_symmetry_space_group_name_H-M 'R 3 m'
_symmetry_Int_Tables_number 160
_symmetry_space_group_name_Hall 'R 3 -2"'
loop_
_atom_site_label
_atom_site_type_symbol
_atom_site_fract_x
_atom_site_fract_y
_atom_site_fract_z
In1 In 0.0000 0.0000 0.0000
Ag1 Ag 0.0000 0.0000 0.5054
Te1 Te 0.0000 0.0000 0.8726
Se1 Se 0.0000 0.0000 0.3787
```



The relative energies come out as w 0.000; x 0.070, with values in eV/atom.